PBE LaPm5Sm3, optimized geometry; E = -4.483 eV per atom; crystal system = monoclinic; energy above the most stable polymorph in this dataset = 0 meV per atom; M_tot = 0.0 μB per formula unit; energy relative to the elements = 0.277 eV per atom
1.0
10.440 -3.103 0.000
10.440 3.103 0.000
-6.172 0.000 9.817
La Pm Sm
2 10 6
Cartesian
5.811 2.302 7.363 La
8.897 -2.302 2.454 La
5.685 1.830 1.600 Pm
2.232 1.146 8.382 Pm
12.109 1.830 3.308 Pm
8.897 0.670 2.454 Pm
9.390 1.146 6.343 Pm
5.318 -1.146 3.473 Pm
5.811 -0.670 7.363 Pm
2.599 -1.830 6.509 Pm
12.476 -1.146 1.435 Pm
9.023 -1.830 8.217 Pm
0.000 0.000 0.000 Sm
-3.086 0.000 4.908 Sm
3.768 1.683 4.618 Sm
14.026 1.683 0.291 Sm
0.682 -1.683 9.526 Sm
10.940 -1.683 5.199 Sm

=====

PBE LaPm7Sm4, optimized geometry; E = -4.745 eV per atom; crystal system = triclinic; energy above the most stable polymorph in this dataset = 0 meV per atom; M_tot = 0.0 μB per formula unit; energy relative to the elements = 0.010 eV per atom
1.0
6.384 0.000 0.000
0.000 7.356 0.000
-2.141 -0.001 8.850
La Pm Sm
1 7 4
Cartesian
0.000 0.000 0.000 La
0.000 3.678 0.000 Pm
-0.012 0.002 5.899 Pm
1.069 1.846 2.955 Pm
1.051 1.848 8.849 Pm
3.192 5.507 0.001 Pm
3.174 5.509 5.895 Pm
4.255 7.353 2.952 Pm
-0.026 3.680 5.903 Sm
1.067 5.506 2.952 Sm
3.175 1.849 5.899 Sm
4.268 3.675 2.948 Sm

=====

PBE La5Pm5Sm, optimized geometry; E = -4.578 eV per atom; crystal system = hexagonal; energy above the most stable polymorph in this dataset = 0 meV per atom; M_tot = 0.0 μB per formula unit; energy relative to the elements = 0.251 eV per atom
1.0
6.316 0.000 0.000
-3.158 5.470 0.000
0.000 0.000 11.727
La Pm Sm
5 5 1
Cartesian
0.000 0.000 0.000 La
0.000 3.647 3.761 La
0.000 3.647 7.966 La
3.158 1.823 1.808 La
3.158 1.823 9.919 La
0.000 0.000 3.103 Pm
0.000 0.000 8.624 Pm
1.596 0.922 5.863 Pm
4.720 0.922 5.863 Pm
3.158 3.627 5.863 Pm
0.000 3.647 0.000 Sm

=====

PBE La3Pm6Sm, optimized geometry; E = -4.558 eV per atom; crystal system = monoclinic; M_tot = 0.0 μB per formula unit; energy relative to the elements = 0.243 eV per atom
1.0
6.080 -3.447 0.000
6.080 3.447 0.000
-2.383 0.000 8.606
La Pm Sm
3 6 1
Cartesian
0.000 0.000 0.000 La
5.328 0.000 1.532 La
4.449 0.000 7.074 La
1.130 1.562 7.062 Pm
2.524 0.000 4.242 Pm
1.130 -1.562 7.062 Pm
8.648 1.562 1.543 Pm
7.253 0.000 4.364 Pm
8.648 -1.562 1.543 Pm
-1.191 0.000 4.303 Sm

=====

PBE LaPm2Sm2, optimized geometry; E = -4.652 eV per atom; crystal system = monoclinic; energy above the most stable polymorph in this dataset = 32 meV per atom; M_tot = 0.0 μB per formula unit; energy relative to the elements = 0.122 eV per atom
1.0
4.955 -4.030 0.000
4.955 4.030 0.000
-3.597 0.000 8.749
La Pm Sm
2 4 4
Cartesian
2.257 2.255 6.562 La
4.056 -2.255 2.187 La
2.541 2.672 3.079 Pm
5.570 2.672 1.296 Pm
0.742 -2.672 7.453 Pm
3.772 -2.672 5.670 Pm
3.246 0.507 0.195 Sm
1.448 -0.507 4.569 Sm
4.865 0.507 4.180 Sm
3.067 -0.507 8.554 Sm

=====

PBE La2Pm2Sm7, optimized geometry; E = -4.627 eV per atom; crystal system = monoclinic; energy above the most stable polymorph in this dataset = 0 meV per atom; M_tot = 0.0 μB per formula unit; energy relative to the elements = 0.135 eV per atom
1.0
5.732 -5.911 0.000
5.732 5.911 0.000
-2.491 0.000 5.706
La Pm Sm
2 2 7
Cartesian
0.330 0.000 1.785 La
8.644 0.000 3.921 La
5.732 2.513 0.000 Pm
5.732 -2.513 0.000 Pm
2.938 2.851 1.853 Sm
0.763 0.000 5.288 Sm
6.036 2.851 3.853 Sm
4.487 0.000 2.853 Sm
2.938 -2.851 1.853 Sm
8.210 0.000 0.418 Sm
6.036 -2.851 3.853 Sm

=====

PBE La3Pm2Sm6, optimized geometry; E = -4.633 eV per atom; crystal system = monoclinic; energy above the most stable polymorph in this dataset = 0 meV per atom; M_tot = 0.0 μB per formula unit; energy relative to the elements = 0.149 eV per atom
1.0
2.998 -5.855 0.000
2.998 5.855 0.000
-1.532 0.000 11.136
La Pm Sm
3 2 6
Cartesian
0.000 0.000 0.000 La
2.998 2.127 0.000 La
2.998 -2.127 0.000 La
2.232 1.644 5.568 Pm
2.232 -1.644 5.568 Pm
2.188 4.036 3.236 Sm
2.276 4.036 7.900 Sm
2.155 0.000 2.589 Sm
2.309 0.000 8.547 Sm
2.188 -4.036 3.236 Sm
2.276 -4.036 7.900 Sm

=====

PBE La5Pm4Sm2, optimized geometry; E = -4.703 eV per atom; crystal system = monoclinic; energy above the most stable polymorph in this dataset = 28 meV per atom; M_tot = 0.0 μB per formula unit; energy relative to the elements = 0.122 eV per atom
1.0
12.295 -1.771 0.000
12.295 1.771 0.000
-1.068 0.000 8.985
La Pm Sm
5 4 2
Cartesian
0.000 0.000 0.000 La
6.444 0.000 1.590 La
7.900 0.000 7.977 La
15.622 0.000 1.009 La
17.078 0.000 7.395 La
3.850 0.000 4.240 Pm
10.484 0.000 5.720 Pm
13.037 0.000 3.266 Pm
19.672 0.000 4.745 Pm
9.753 0.000 2.439 Sm
13.768 0.000 6.546 Sm

=====

Question: Which formula does entry 5 have?
Answer: LaPm2Sm2